A geometry-optimized PC4 structure, computed with PBE-GGA.

The structure in POSCAR format:
```
PC4
1.0
-0.297 2.331 -2.693
-3.545 -0.453 -0.001
-0.342 2.671 2.350
P C
1 4
Cartesian
-2.092 2.274 -0.172
0.000 0.000 0.000
-0.320 2.501 -0.171
-1.943 1.109 1.174
-1.921 0.939 -1.347
```

Results
Total moment in μB/cell: 0.00
Volume in Å³/cell: 45.63
Calculated density in Mg/m³: 2.9
Energy of formation in eV/atom: 3.092
Distance to the lowest polymorph of the same formula in meV per atom: 2364


A geometry-optimized PC3 structure, computed with PBE-GGA.

The structure in POSCAR format:
```
PC3
1.0
-1.432 1.227 4.080
-0.987 -0.734 -4.324
-1.084 -4.788 1.060
P C
1 3
Cartesian
-1.480 -0.950 0.143
-1.046 -4.619 1.022
-2.022 -3.344 0.673
-0.580 -2.563 0.567
```

Results
Total moment in μB/cell: 0.00
Volume in Å³/cell: 53.82
Calculated density in Mg/m³: 2.1
Energy of formation in eV/atom: 2.090
Distance to the lowest polymorph of the same formula in meV per atom: 1447


A geometry-optimized P7C5 structure, computed with PBE-GGA.

The structure in POSCAR format:
```
P7C5
1.0
7.304 0.058 0.000
-1.821 7.073 0.000
-2.741 -3.566 5.755
P C
7 5
Cartesian
0.431 0.561 0.000
2.472 -1.506 2.877
-2.090 2.002 2.877
5.177 0.221 1.785
3.446 1.553 3.969
0.615 3.729 3.969
-1.117 5.060 1.785
4.836 6.290 0.000
5.619 0.470 0.000
-0.990 5.551 0.000
2.315 3.010 4.168
-0.427 -0.555 1.586
```

Results
Total moment in μB/cell: 0.00
Volume in Å³/cell: 297.91
Calculated density in Mg/m³: 1.5
Energy of formation in eV/atom: 1.171


A geometry-optimized PC2 structure, computed with PBE-GGA.

The structure in POSCAR format:
```
PC2
1.0
3.746 0.006 0.000
0.153 3.743 0.000
-1.950 -1.875 2.592
P C
1 2
Cartesian
0.000 0.000 0.000
2.417 2.324 0.000
1.482 1.425 0.000
```

Results
Total moment in μB/cell: 0.00
Volume in Å³/cell: 36.34
Calculated density in Mg/m³: 2.5
Energy of formation in eV/atom: 2.095
Distance to the lowest polymorph of the same formula in meV per atom: 1865


A geometry-optimized P2C3 structure, computed with PBE-GGA.

The structure in POSCAR format:
```
P2C3
1.0
4.114 -0.001 0.000
-0.969 4.062 0.000
-0.309 -1.631 4.068
P C
2 3
Cartesian
3.104 1.650 2.228
0.730 -0.009 0.621
1.123 2.890 1.086
2.492 3.087 1.324
0.550 1.601 1.368
```

Results
Total moment in μB/cell: 0.00
Volume in Å³/cell: 67.96
Calculated density in Mg/m³: 2.4
Energy of formation in eV/atom: 0.685
Distance to the lowest polymorph of the same formula in meV per atom: 232


A geometry-optimized PC2 structure, computed with PBE-GGA.

The structure in POSCAR format:
```
PC2
1.0
0.000 3.018 3.018
3.018 0.000 3.018
3.018 3.018 0.000
P C
2 4
Cartesian
4.527 4.527 4.527
3.018 3.018 3.018
2.264 0.755 2.264
0.755 2.264 2.264
2.264 2.264 0.755
0.755 0.755 0.755
```

Results
Total moment in μB/cell: 0.00
Volume in Å³/cell: 55.00
Calculated density in Mg/m³: 3.3
Energy of formation in eV/atom: 3.256
Distance to the lowest polymorph of the same formula in meV per atom: 3026


A geometry-optimized PC3 structure, computed with PBE-GGA.

The structure in POSCAR format:
```
PC3
1.0
-0.951 2.172 -5.515
-2.133 -1.231 -0.117
-3.321 5.481 2.838
P C
2 6
Cartesian
-3.084 5.151 2.015
-2.490 1.795 0.537
-1.675 2.976 -0.789
-4.401 5.101 0.572
-1.099 2.077 -1.824
-3.825 4.202 -0.464
-2.420 4.259 -0.695
-1.826 0.903 -2.172
```

Results
Total moment in μB/cell: 0.00
Volume in Å³/cell: 103.72
Calculated density in Mg/m³: 2.1
Energy of formation in eV/atom: 0.865
Distance to the lowest polymorph of the same formula in meV per atom: 222


A geometry-optimized PC2 structure, computed with PBE-GGA.

The structure in POSCAR format:
```
PC2
1.0
-1.797 0.784 -2.723
-2.767 0.210 1.886
0.982 5.236 0.859
P C
2 4
Cartesian
-0.067 4.823 -0.634
-1.232 0.911 1.075
0.000 0.000 0.000
-2.282 0.497 -0.418
-0.394 3.081 -0.920
-0.906 2.652 1.361
```

Results
Total moment in μB/cell: 0.00
Volume in Å³/cell: 60.75
Calculated density in Mg/m³: 3.0
Energy of formation in eV/atom: 1.909
Distance to the lowest polymorph of the same formula in meV per atom: 1680


A geometry-optimized PC3 structure, computed with PBE-GGA.

The structure in POSCAR format:
```
PC3
1.0
4.274 -0.036 0.017
-2.173 3.680 -0.017
1.144 -3.087 2.725
P C
1 3
Cartesian
5.349 -3.084 2.707
1.019 -1.382 2.304
1.707 -0.190 2.304
0.315 -0.182 1.774
```

Results
Total moment in μB/cell: 0.00
Volume in Å³/cell: 42.47
Calculated density in Mg/m³: 2.6
Energy of formation in eV/atom: 0.958
Distance to the lowest polymorph of the same formula in meV per atom: 315


A geometry-optimized P3C4 structure, computed with PBE-GGA.

The structure in POSCAR format:
```
P3C4
1.0
-0.745 -5.788 5.376
1.422 -2.951 7.227
-2.030 5.218 -5.622
P C
3 4
Cartesian
0.000 0.000 0.000
0.462 -5.962 8.598
0.215 -2.777 4.005
0.546 -7.053 10.171
0.131 -1.686 2.432
0.373 -4.816 6.946
0.304 -3.923 5.657
```

Results
Total moment in μB/cell: 0.00
Volume in Å³/cell: 62.04
Calculated density in Mg/m³: 3.8
Energy of formation in eV/atom: 1.540
Distance to the lowest polymorph of the same formula in meV per atom: 721


A geometry-optimized PC2 structure, computed with PBE-GGA.

The structure in POSCAR format:
```
PC2
1.0
1.358 5.777 0.956
-1.358 5.777 0.956
0.000 1.997 6.562
P C
2 4
Cartesian
0.000 1.475 4.498
0.000 12.076 3.977
0.000 8.380 1.631
0.000 6.339 6.058
0.000 5.171 6.844
0.000 7.213 2.417
```

Results
Total moment in μB/cell: 0.00
Volume in Å³/cell: 97.80
Calculated density in Mg/m³: 1.9
Energy of formation in eV/atom: 0.427
Distance to the lowest polymorph of the same formula in meV per atom: 197


A geometry-optimized PC2 structure, computed with PBE-GGA.

The structure in POSCAR format:
```
PC2
1.0
-5.336 0.899 2.619
-0.540 -2.120 -5.600
0.040 -2.414 0.910
P C
2 4
Cartesian
-3.545 -0.229 -0.451
-2.332 -0.992 -2.530
0.000 0.000 0.000
-2.918 -1.817 -1.036
-4.932 -0.550 2.415
-0.905 -3.085 -4.486
```

Results
Total moment in μB/cell: 0.00
Volume in Å³/cell: 86.30
Calculated density in Mg/m³: 2.1
Energy of formation in eV/atom: 1.882
Distance to the lowest polymorph of the same formula in meV per atom: 1653